A relaxed CaCd8 crystal. Source: Alexandria, functional GGA-PBE. Values from VASP.

```
&SYSTEM
  ibrav = 0, nat = 9, ntyp = 2
/
ATOMIC_SPECIES
Ca 40.08 Ca.upf
Cd 112.41 Cd.upf
CELL_PARAMETERS angstrom
-4.844 4.844 2.255
4.844 -4.844 2.255
4.844 4.844 -2.255
ATOMIC_POSITIONS angstrom
Ca 0.000 0.000 0.000
Cd 3.278 0.000 0.000
Cd 6.409 0.000 0.000
Cd 3.178 3.178 0.000
Cd 1.666 -1.666 2.255
Cd 0.000 3.278 0.000
Cd 0.000 6.409 0.000
Cd -1.666 1.666 2.255
Cd 1.666 1.666 2.255
```

Calculated values
Magnetization ... 0.000 μB/atom
Energy of formation from the pure elements ... -112 meV/atom
Electronic total energy ... -1.148 eV/atom
DOS at the Fermi energy ... 3.7 states/eV/f.u.

---

A relaxed Ca4Cd5 crystal. Source: Alexandria, functional GGA-PBE. Values from VASP.

```
&SYSTEM
  ibrav = 0, nat = 18, ntyp = 2
/
ATOMIC_SPECIES
Ca 40.08 Ca.upf
Cd 112.41 Cd.upf
CELL_PARAMETERS angstrom
9.482 0.000 0.000
-4.741 8.212 0.000
0.000 0.000 6.579
ATOMIC_POSITIONS angstrom
Ca 0.000 0.000 0.000
Ca 0.000 0.000 3.290
Ca -1.725 2.988 1.645
Ca -3.016 5.224 4.934
Ca 3.450 0.000 1.645
Ca 1.725 2.988 4.934
Ca 6.032 0.000 4.934
Ca 3.016 5.224 1.645
Cd -1.442 2.497 4.934
Cd -3.299 5.715 1.645
Cd 2.883 0.000 4.934
Cd 1.442 2.497 1.645
Cd 0.000 5.475 0.000
Cd 0.000 5.475 3.290
Cd 4.741 2.737 0.000
Cd 4.741 2.737 3.290
Cd 6.599 0.000 1.645
Cd 3.299 5.715 4.934
```

Calculated values
Magnetization ... 0.000 μB/atom
Energy of formation from the pure elements ... -253 meV/atom
Electronic total energy ... -1.651 eV/atom
DOS at the Fermi energy ... 7.4 states/eV/f.u.
Distance to the lowest polymorph of the same formula ... 0.000 eV per formula unit

---

A relaxed Ca5Cd crystal. Source: Alexandria, functional GGA-PBE. Values from VASP.

```
&SYSTEM
  ibrav = 0, nat = 6, ntyp = 2
/
ATOMIC_SPECIES
Ca 40.08 Ca.upf
Cd 112.41 Cd.upf
CELL_PARAMETERS angstrom
6.668 -2.049 0.000
6.668 2.049 0.000
-2.862 0.000 8.220
ATOMIC_POSITIONS angstrom
Ca 0.000 0.000 0.000
Ca -0.913 0.000 3.618
Ca 3.623 0.000 1.301
Ca 2.716 0.000 4.923
Ca 6.596 0.000 6.568
Cd 8.024 0.000 2.463
```

Calculated values
Magnetization ... 0.000 μB/atom
Energy of formation from the pure elements ... -97 meV/atom
Electronic total energy ... -1.917 eV/atom
DOS at the Fermi energy ... 6.2 states/eV/f.u.
Distance to the lowest polymorph of the same formula ... 0.110 eV per formula unit

---

A relaxed CaCd3 crystal. Source: Alexandria, functional GGA-PBE. Values from VASP.

```
&SYSTEM
  ibrav = 0, nat = 4, ntyp = 2
/
ATOMIC_SPECIES
Ca 40.08 Ca.upf
Cd 112.41 Cd.upf
CELL_PARAMETERS angstrom
3.486 0.000 0.000
0.000 3.486 0.000
0.000 0.000 8.164
ATOMIC_POSITIONS angstrom
Ca 0.000 0.000 0.000
Cd 0.000 0.000 4.082
Cd 1.743 1.743 2.194
Cd 1.743 1.743 5.970
```

Calculated values
Magnetization ... 0.000 μB/atom
Energy of formation from the pure elements ... -196 meV/atom
Electronic total energy ... -1.383 eV/atom
DOS at the Fermi energy ... 1.4 states/eV/f.u.

---

A relaxed Ca2Cd crystal. Source: Alexandria, functional GGA-PBE. Values from VASP.

```
&SYSTEM
  ibrav = 0, nat = 6, ntyp = 2
/
ATOMIC_SPECIES
Ca 40.08 Ca.upf
Cd 112.41 Cd.upf
CELL_PARAMETERS angstrom
4.895 -2.820 0.000
4.895 2.820 0.000
-0.001 0.000 6.991
ATOMIC_POSITIONS angstrom
Ca 0.000 0.000 0.000
Ca 0.000 0.000 3.495
Ca 3.256 0.000 5.247
Ca 6.534 0.000 1.744
Cd 3.273 0.000 1.751
Cd 6.516 0.000 5.240
```

Calculated values
Magnetization ... 0.000 μB/atom
Energy of formation from the pure elements ... -218 meV/atom
Electronic total energy ... -1.857 eV/atom
DOS at the Fermi energy ... 2.9 states/eV/f.u.

---

A relaxed Ca2Cd crystal. Source: Alexandria, functional GGA-PBE. Values from VASP.

```
&SYSTEM
  ibrav = 0, nat = 6, ntyp = 2
/
ATOMIC_SPECIES
Ca 40.08 Ca.upf
Cd 112.41 Cd.upf
CELL_PARAMETERS angstrom
1.971 -7.104 0.000
1.971 7.104 0.000
0.000 0.000 7.464
ATOMIC_POSITIONS angstrom
Ca 1.971 6.762 3.732
Ca 1.971 2.929 2.279
Ca 1.971 -2.929 6.011
Ca 1.971 -6.762 0.000
Cd 1.971 1.701 5.317
Cd 1.971 -1.701 1.585
```

Calculated values
Magnetization ... 0.000 μB/atom
Energy of formation from the pure elements ... -183 meV/atom
Electronic total energy ... -1.822 eV/atom
DOS at the Fermi energy ... 2.7 states/eV/f.u.

---

DOS at the Fermi energy of number 4 (CaCd3)?
1.4 states/eV/f.u.